No. 1
## Sc2SbPt (PBE-GGA)

Data for crystalline Sc2SbPt at its relaxed geometry.

a b c (Å): 9.0834 9.0834 9.0834
angles (deg): 23.90 23.90 23.90
With the nearest neighbours (Å) after each atom.
Fractional positions:
1 Sc 0.1101 0.1101 0.1101  3 Pt 2.64, 1 Sb 2.91
2 Sc 0.8899 0.8899 0.8899  3 Pt 2.64, 1 Sb 2.91
3 Sb 0.0000 0.0000 0.0000  2 Sc 2.91
4 Pt 0.5000 0.5000 0.5000  6 Sc 2.64

Summary:
Symmetry: R-3m, No. 166


No. 2
## Tl3CrSb2Te6 (PBE-GGA)

Data for crystalline Tl3CrSb2Te6 at its relaxed geometry.

a b c (Å): 7.5290 7.5290 8.3742
angles (deg): 98.61 98.61 120.04
With the nearest neighbours (Å) after each atom.
Fractional positions:
1 Tl 0.0000 0.0000 0.0000  6 Te 3.39-3.60
2 Tl 0.3239 0.6761 0.0000  6 Te 3.39-3.55
3 Tl 0.6761 0.3239 0.0000  6 Te 3.39-3.55
4 Cr 0.5000 0.5000 0.5000  6 Te 2.79-2.81
5 Sb 0.1658 0.8342 0.5000  6 Te 3.09-3.10
6 Sb 0.8342 0.1658 0.5000  6 Te 3.09-3.10
7 Te 0.1300 0.4335 0.2983  1 Cr 2.79, 2 Sb 3.09
8 Te 0.2657 0.2657 0.7063  1 Cr 2.81, 2 Sb 3.10
9 Te 0.4335 0.1300 0.2983  1 Cr 2.79, 2 Sb 3.09
10 Te 0.5665 0.8700 0.7017  1 Cr 2.79, 2 Sb 3.09
11 Te 0.7343 0.7343 0.2937  1 Cr 2.81, 2 Sb 3.10
12 Te 0.8700 0.5665 0.7017  1 Cr 2.79, 2 Sb 3.09

Summary:
Symmetry: C2/m, No. 12


Looking at energy relative to the elements, uncorrected for the records above, in order, we have -0.505 -0.225 eV per atom.